Here is a relaxed RbU2Se5 crystal from Alexandria. Energies are from PBE-GGA.

For the volume, the calculation gives 28.76 A^3/atom. The raw formation energy comes out at -1.1700 eV per atom.

It has space group Immm (No. 71), with a = 4.345 Å, b = 7.149 Å, c = 14.815 Å, α = 90.00°, β = 90.00° and γ = 90.00°. The inequivalent atoms are Rb at (0.000, 0.000, 0.000), U at (0.000, 0.500, 0.186), Se at (0.000, 0.254, 0.343) and Se at (0.000, 0.500, 0.000).